Entry 1
# ZrMoRh2

A geometry-optimized ZrMoRh2 structure (PBE, the Alexandria database).

Computed properties:
As for the calculated volume: 65.7 Å³ per cell. The value obtained for the calculated density is 9.928 Mg/m³. As for the space-group type: Cm.

```
ZrMoRh2
1.0
4.9110 -0.0045 -0.0003
4.0540 2.7718 -0.0003
0.8034 0.2480 4.8220
Mo Rh Zr
1 2 1
direct
0.2628 0.2628 0.1990
0.0025 0.0025 0.0352
0.7419 0.7419 0.7324
0.4928 0.4928 0.5333
```

***

Entry 2
# ZrMoRh2

A geometry-optimized ZrMoRh2 structure (PBE, the Alexandria database).

Computed properties:
As for the calculated volume: 145.0 Å³ per cell. The value obtained for the calculated density is 9.001 Mg/m³. As for the space-group type: I-42d.

```
ZrMoRh2
1.0
-2.4437 3.0504 1.1483
-3.0649 -2.6390 0.4879
-0.3753 -1.0195 9.1355
Mo Rh Zr
2 4 2
direct
0.0000 0.0000 0.0000
0.7500 0.2500 0.5000
0.6437 0.1250 0.2500
0.1063 0.6250 0.2500
0.3750 0.3563 0.7500
0.8750 0.8937 0.7500
0.5000 0.5000 0.0000
0.2500 0.7500 0.5000
```

***

Computed stability ranking, most favorable first: entry 1, entry 2

***

Entry 1
# ZrMo2Rh

A geometry-optimized ZrMo2Rh structure (PBE, the Alexandria database).

Computed properties:
As for the calculated volume: 68.2 Å³ per cell. The value obtained for the calculated density is 9.397 Mg/m³. As for the space-group type: Pmmm.

```
ZrMo2Rh
1.0
-1.9282 -1.8873 -0.9029
0.2452 -1.8841 3.4145
-4.4952 3.5114 2.2603
Mo Rh Zr
2 1 1
direct
0.0000 0.0000 0.0322
0.0000 0.0000 0.4678
0.5000 0.5000 0.2500
0.5000 0.5000 0.7500
```

***

Entry 2
# ZrMo2Rh

A geometry-optimized ZrMo2Rh structure (PBE, the Alexandria database).

Computed properties:
As for the calculated volume: 67.6 Å³ per cell. The value obtained for the calculated density is 9.487 Mg/m³. As for the space-group type: P4mm.

```
ZrMo2Rh
1.0
2.8033 0.0000 0.0000
0.0000 2.8033 0.0000
0.0000 0.0000 8.5980
Mo Rh Zr
2 1 1
direct
0.0000 0.0000 0.0139
0.5000 0.5000 0.2718
0.0000 0.0000 0.4815
0.5000 0.5000 0.7329
```

***

Entry 3
# ZrMo2Rh

A geometry-optimized ZrMo2Rh structure (PBE, the Alexandria database).

Computed properties:
As for the calculated volume: 67.0 Å³ per cell. The value obtained for the calculated density is 9.572 Mg/m³. As for the space-group type: F-43m.

```
ZrMo2Rh
1.0
-4.2418 1.6331 -0.3603
-0.2956 -1.6778 -4.2293
1.1048 -2.7408 3.4723
Mo Rh Zr
2 1 1
direct
0.0000 0.0000 0.0000
0.2500 0.7500 0.5000
0.5000 0.5000 0.0000
0.7500 0.2500 0.5000
```

***

Computed stability ranking, most favorable first: entry 3, entry 2, entry 1